# 1
KNbHg3 GGA-PBE relaxed; V = 42.59 Å³/atom; energy = -0.0856 Ry per atom; space-group type = Pm-3m (221); energy of formation = 1.250 eV/atom; DOS at the Fermi energy = 2.754 states/eV per atom
1.0
5.971 0.000 0.000
0.000 5.971 0.000
0.000 0.000 5.971
K Nb Hg
1 1 3
direct
0.000 0.000 0.000
0.500 0.500 0.500
0.000 0.000 0.500
0.000 0.500 0.000
0.500 0.000 0.000

***

# 2
KNb2Hg2O7 GGA-PBE relaxed; V = 23.87 Å³/atom; energy = -0.4685 Ry per atom; space-group type = R32 (155); formation energy from raw total energies = -1662 meV/atom; DOS at the Fermi energy = 0.377 states/eV per atom
1.0
3.126 1.805 8.461
-3.126 1.805 8.461
0.000 -3.610 8.461
K Nb Hg O
1 2 2 7
direct
0.000 0.000 0.000
0.424 0.424 0.424
0.576 0.576 0.576
0.280 0.280 0.280
0.720 0.720 0.720
0.119 0.398 0.677
0.323 0.602 0.881
0.398 0.677 0.119
0.500 0.500 0.500
0.602 0.881 0.323
0.677 0.119 0.398
0.881 0.323 0.602

***

# 3
K2NbHgO4 GGA-PBE relaxed; V = 20.62 Å³/atom; energy = -0.4242 Ry per atom; space-group type = I-4 (82); formation energy from raw total energies = -1721 meV/atom; DOS at the Fermi energy = 0.588 states/eV per atom
1.0
-3.300 3.300 3.786
3.300 -3.300 3.786
3.300 3.300 -3.786
K Nb Hg O
2 1 1 4
direct
0.000 0.000 0.000
0.750 0.250 0.500
0.250 0.750 0.500
0.500 0.500 0.000
0.231 0.063 0.508
0.277 0.769 0.831
0.554 0.723 0.492
0.937 0.446 0.169

***

# 4
KNbHgO2 GGA-PBE relaxed; V = 20.47 Å³/atom; energy = -0.2232 Ry per atom; space-group type = P4/mmm (123); formation energy from raw total energies = 1240 meV/atom; DOS at the Fermi energy = 2.045 states/eV per atom
1.0
4.428 0.000 0.000
0.000 4.428 0.000
0.000 0.000 5.218
K Nb Hg O
1 1 1 2
direct
0.000 0.000 0.000
0.500 0.500 0.500
0.000 0.000 0.500
0.000 0.500 0.000
0.500 0.000 0.000

***

# 5
KNbHgPd2 GGA-PBE relaxed; V = 27.60 Å³/atom; energy = -0.2852 Ry per atom; space-group type = P4/mmm (123); energy of formation = 0.491 eV/atom; DOS at the Fermi energy = 1.183 states/eV per atom
1.0
4.978 0.000 0.000
0.000 4.978 0.000
0.000 0.000 5.568
K Nb Hg Pd
1 1 1 2
direct
0.000 0.000 0.000
0.500 0.500 0.500
0.500 0.500 0.000
0.000 0.500 0.500
0.500 0.000 0.500

***

# 6
KRbNbHg2 GGA-PBE relaxed; V = 50.35 Å³/atom; energy = -0.0914 Ry per atom; space-group type = P4/mmm (123); energy of formation = 1.304 eV/atom; DOS at the Fermi energy = 2.431 states/eV per atom
1.0
6.201 0.000 0.000
0.000 6.201 0.000
0.000 0.000 6.548
K Rb Nb Hg
1 1 1 2
direct
0.000 0.000 0.000
0.000 0.000 0.500
0.500 0.500 0.000
0.000 0.500 0.500
0.500 0.000 0.500

***

# 7
KTi2NbHg GGA-PBE relaxed; V = 20.93 Å³/atom; energy = -0.2554 Ry per atom; space-group type = P4/mmm (123); energy of formation = 1.978 eV/atom; DOS at the Fermi energy = 1.189 states/eV per atom
1.0
4.464 0.000 0.000
0.000 4.464 0.000
0.000 0.000 5.251
K Ti Nb Hg
1 2 1 1
direct
0.000 0.000 0.000
0.000 0.500 0.000
0.500 0.000 0.000
0.500 0.500 0.500
0.000 0.000 0.500

***

# 8
KNdHg2 GGA-PBE relaxed; V = 29.84 Å³/atom; energy = -0.1332 Ry per atom; space-group type = Fm-3m (225); energy of formation = -0.195 eV/atom; DOS at the Fermi energy = 0.953 states/eV per atom
1.0
0.000 3.908 3.908
3.908 0.000 3.908
3.908 3.908 0.000
K Nd Hg
1 1 2
direct
0.000 0.000 0.000
0.500 0.500 0.500
0.250 0.250 0.250
0.750 0.750 0.750

***

# 9
KNd2Hg3 GGA-PBE relaxed; V = 30.68 Å³/atom; energy = -0.1691 Ry per atom; space-group type = P4/mmm (123); energy of formation = -0.378 eV/atom; DOS at the Fermi energy = 0.644 states/eV per atom
1.0
3.859 0.000 0.000
0.000 3.859 0.000
0.000 0.000 12.358
K Nd Hg
1 2 3
direct
0.000 0.000 0.000
0.000 0.000 0.344
0.000 0.000 0.656
0.500 0.500 0.202
0.500 0.500 0.500
0.500 0.500 0.798

***

# 10
KNdHg2 GGA-PBE relaxed; V = 31.86 Å³/atom; energy = -0.1411 Ry per atom; space-group type = P4/mmm (123); energy of formation = -0.302 eV/atom; DOS at the Fermi energy = 0.724 states/eV per atom
1.0
3.888 0.000 0.000
0.000 3.888 0.000
0.000 0.000 8.427
K Nd Hg
1 1 2
direct
0.000 0.000 0.000
0.000 0.000 0.500
0.500 0.500 0.290
0.500 0.500 0.710

***

# 11
KNdHg2 GGA-PBE relaxed; V = 34.96 Å³/atom; energy = -0.1324 Ry per atom; space-group type = R-3m (166); energy of formation = -0.184 eV/atom; DOS at the Fermi energy = 0.896 states/eV per atom
1.0
2.059 1.189 9.524
-2.059 1.189 9.524
0.000 -2.377 9.524
K Nd Hg
1 1 2
direct
0.000 0.000 0.000
0.500 0.500 0.500
0.240 0.240 0.240
0.760 0.760 0.760

***

# 12
KNd2HgSe4 GGA-PBE relaxed; V = 30.23 Å³/atom; energy = -0.3259 Ry per atom; space-group type = Cmcm (63); formation energy from raw total energies = -1325 meV/atom; DOS at the Fermi energy = 0.357 states/eV per atom
1.0
2.195 -7.225 0.000
2.195 7.225 0.000
0.000 0.000 15.249
K Nd Hg Se
2 4 2 8
direct
0.128 0.872 0.750
0.872 0.128 0.250
0.374 0.626 0.560
0.374 0.626 0.940
0.626 0.374 0.060
0.626 0.374 0.440
0.153 0.847 0.250
0.847 0.153 0.750
0.000 0.000 0.000
0.000 0.000 0.500
0.266 0.734 0.105
0.266 0.734 0.395
0.456 0.544 0.750
0.544 0.456 0.250
0.734 0.266 0.605
0.734 0.266 0.895